A plane-wave DFT calculation with PBE was carried out for crystalline K2Fe4Te at its relaxed geometry.

The space group is I4/mmm (No. 139) and the conventional cell measures 4.873, 4.873 and 17.591 Å, with angles of 90.00, 90.00 and 90.00 degrees. The inequivalent atoms are K at (0.000, 0.000, 0.154), Fe at (0.000, 0.000, 0.361), Fe at (0.000, 0.500, 0.000) and Te at (0.000, 0.000, 0.500).

The raw formation energy is 1275 meV per atom. As for the total magnetization: 21.52 Bohr magnetons per cell. For the mass density, the calculation gives 3.41 Mg/m³. As for the calculated volume: 29.84 Å³/atom.